No. 1
# TaPtW2

Crystalline TaPtW2 at its relaxed geometry (PBE-GGA, Alexandria via LeMat-Bulk).

Geometry as POSCAR:
```
TaPtW2
1.0
-2.255 1.238 -1.030
-0.998 -1.926 1.724
0.179 5.829 6.614
Pt W Ta
1 2 1
Direct
0.000 0.000 0.497 Pt
0.500 0.500 0.254 W
0.000 0.000 0.004 W
0.500 0.500 0.745 Ta
```

Computed properties:
The value obtained for the density of states at the Fermi level is 2.27 states/eV/f.u. As for the electronic total energy: -11.113 eV/atom. For the volume, the calculation gives 16.4 Å³/atom. Its symmetry is No. 35.



No. 2
# TaPt2W

Crystalline TaPt2W at its relaxed geometry (PBE-GGA, Alexandria via LeMat-Bulk).

Geometry as POSCAR:
```
TaPt2W
1.0
-2.833 0.078 -2.013
-0.511 -3.388 0.587
-3.067 1.219 4.364
W Pt Ta
1 2 1
Direct
0.500 0.500 0.750 W
0.000 0.000 0.998 Pt
0.000 0.000 0.502 Pt
0.500 0.500 0.250 Ta
```

Computed properties:
The value obtained for the density of states at the Fermi level is 3.74 states/eV/f.u. As for the electronic total energy: -9.429 eV/atom. For the volume, the calculation gives 16.5 Å³/atom. Its symmetry is No. 123.



No. 3
# Ta14PtW

Crystalline Ta14PtW at its relaxed geometry (PBE-GGA, Alexandria via LeMat-Bulk).

Geometry as POSCAR:
```
Ta14PtW
1.0
5.722 0.161 0.000
-2.095 5.327 0.000
0.000 0.000 9.275
Ta W Pt
14 1 1
Direct
0.625 0.375 0.000 Ta
0.875 0.125 0.250 Ta
0.880 0.630 0.255 Ta
0.125 0.375 0.500 Ta
0.875 0.125 0.750 Ta
0.125 0.375 0.000 Ta
0.375 0.625 0.750 Ta
0.625 0.875 0.500 Ta
0.370 0.120 0.255 Ta
0.880 0.630 0.745 Ta
0.370 0.120 0.745 Ta
0.125 0.875 0.000 Ta
0.625 0.875 0.000 Ta
0.375 0.625 0.250 Ta
0.125 0.875 0.500 W
0.625 0.375 0.500 Pt
```

Computed properties:
The value obtained for the density of states at the Fermi level is 15.93 states/eV/f.u. As for the electronic total energy: -11.669 eV/atom. For the volume, the calculation gives 17.9 Å³/atom. Its symmetry is No. 65.



No. 4
# TaPtW2

Crystalline TaPtW2 at its relaxed geometry (PBE-GGA, Alexandria via LeMat-Bulk).

Geometry as POSCAR:
```
TaPtW2
1.0
5.881 0.000 0.000
0.000 5.881 0.000
2.940 2.940 5.833
W Ta Pt
4 2 2
Direct
0.102 0.625 0.250 W
0.648 0.125 0.250 W
0.875 0.898 0.750 W
0.375 0.352 0.750 W
0.500 0.500 0.000 Ta
0.250 0.750 0.500 Ta
0.000 0.000 0.000 Pt
0.750 0.250 0.500 Pt
```

Computed properties:
The value obtained for the density of states at the Fermi level is 4.42 states/eV/f.u. As for the electronic total energy: -9.070 eV/atom. For the volume, the calculation gives 25.2 Å³/atom. Its symmetry is No. 122.



The following calculated formation energy values (in eV per atom) correspond, in order, to the records above: -0.1633 -0.2068 -0.1104 1.8802.